Material: NaTaHg
Method: DFT, GGA-PBE
State: optimized geometry

## Properties
* energy above the lowest structure with this stoichiometry: 155 meV per atom
* E_form: 0.310 eV per atom

a = 2.9404 Å, b = 5.6930 Å, c = 8.7053 Å
α = 72.78°, β = 89.88°, γ = 75.09°
Element x y z (fractional)
Na 0.1543 0.1890 0.1219
Na 0.8457 0.8110 0.8781
Ta 0.1471 0.2061 0.5084
Ta 0.8529 0.7939 0.4916
Hg 0.4465 0.6114 0.2428
Hg 0.5535 0.3886 0.7572